1.
Compound: Pa2Al12Cu7
Source: the Alexandria database
Functional: GGA-PBE
Structure: optimized geometry

Calculated values
Its symmetry is P-6, No. 174.

Unit cell a=3.9192 b=9.9565 c=9.9565 alpha=120.00 beta=90.00 gamma=90.00
Closest atoms and distances in Å follow each position.
Positions (direct):
Cu1 0.5000 0.4510 0.0838  7 Al 2.43-2.55
Cu2 0.5000 0.6328 0.5490  7 Al 2.43-2.55
Cu3 0.0000 0.0457 0.7884  7 Al 2.47-2.70
Cu4 0.0000 0.7427 0.9543  7 Al 2.47-2.70
Cu5 0.0000 0.3333 0.6667  3 Al 2.44
Cu6 0.5000 0.9162 0.3672  7 Al 2.43-2.55
Cu7 0.0000 0.2116 0.2573  7 Al 2.47-2.70
Al1 0.0000 0.4897 0.9496  4 Cu 2.44-2.51
Al2 0.0000 0.4598 0.5103  4 Cu 2.44-2.51
Al3 0.5000 0.7132 0.0964  4 Cu 2.43-2.55
Al4 0.5000 0.3832 0.2868  4 Cu 2.43-2.55
Al5 0.0000 0.9497 0.2289  4 Cu 2.47-2.51, 1 Al 2.74
Al6 0.5000 0.9036 0.6168  4 Cu 2.43-2.55
Al7 0.0000 0.0504 0.5402  4 Cu 2.44-2.51
Al8 0.0000 0.2792 0.0503  4 Cu 2.47-2.51, 1 Al 2.74
Al9 0.0000 0.7711 0.7208  4 Cu 2.47-2.51, 1 Al 2.74
Al10 0.5000 0.2375 0.8005  5 Cu 2.55-2.79
Al11 0.5000 0.5630 0.7625  5 Cu 2.55-2.79
Al12 0.5000 0.1995 0.4370  5 Cu 2.55-2.79
Pa1 0.5000 0.0000 0.0000  6 Cu 3.07, 9 Al 3.23-3.44
Pa2 0.0000 0.6667 0.3333  6 Cu 3.05, 9 Al 3.27-3.31

***

2.
Compound: PaAl2Cu
Source: the Alexandria database
Functional: GGA-PBE
Structure: optimized geometry

Calculated values
Its symmetry is P4/mmm, No. 123. The relative energy among the computed polymorphs is 9 meV per atom.

Unit cell a=2.9512 b=2.9512 c=7.8559 alpha=90.00 beta=90.00 gamma=90.00
Closest atoms and distances in Å follow each position.
Positions (direct):
Cu1 0.5000 0.5000 0.0000  8 Al 2.61
Al1 0.0000 0.0000 0.8006  4 Cu 2.61
Al2 0.0000 0.0000 0.1994  4 Cu 2.61
Pa1 0.5000 0.5000 0.5000  4 Pa 2.95, 8 Al 3.15

***

3.
Compound: PaAl2Cu4
Source: the Alexandria database
Functional: GGA-PBE
Structure: optimized geometry

Calculated values
Its symmetry is I4/mmm, No. 139.

Unit cell a=5.1014 b=5.2166 c=5.2166 alpha=76.17 beta=60.73 gamma=60.73
Closest atoms and distances in Å follow each position.
Positions (direct):
Cu1 0.3073 0.3854 0.0000  4 Cu 2.48-2.76, 4 Al 2.66
Cu2 0.6927 0.0000 0.6146  4 Cu 2.48-2.76, 4 Al 2.66
Cu3 0.3073 0.0000 0.3854  4 Cu 2.48-2.76, 4 Al 2.66
Cu4 0.6927 0.6146 0.0000  4 Cu 2.48-2.76, 4 Al 2.66
Al1 0.2500 0.5000 0.5000  2 Al 2.55, 8 Cu 2.66
Al2 0.7500 0.5000 0.5000  2 Al 2.55, 8 Cu 2.66
Pa1 0.0000 0.0000 0.0000  12 Cu 2.80-3.10

***

4.
Compound: Pa3Al6Cu5
Source: the Alexandria database
Functional: GGA-PBE
Structure: optimized geometry

Calculated values
Its symmetry is Pmmn, No. 59.

Unit cell a=4.3520 b=8.6183 c=12.9461 alpha=90.00 beta=90.00 gamma=90.00
Closest atoms and distances in Å follow each position.
Positions (direct):
Al1 0.0000 0.6081 0.6552  4 Cu 2.45-2.70, 1 Al 2.61
Al2 0.0000 0.9665 0.8595  4 Cu 2.50-2.72
Al3 0.0000 0.0678 0.5000  4 Cu 2.51-2.66
Al4 0.5000 0.9322 0.0000  4 Cu 2.51-2.66
Al5 0.0000 0.6081 0.3448  4 Cu 2.45-2.70, 1 Al 2.61
Al6 0.0000 0.4146 0.5000  2 Al 2.61, 6 Cu 2.62-2.87
Al7 0.5000 0.3919 0.1552  4 Cu 2.45-2.70, 1 Al 2.61
Al8 0.5000 0.0335 0.6405  4 Cu 2.50-2.72
Al9 0.0000 0.9665 0.1405  4 Cu 2.50-2.72
Al10 0.5000 0.3919 0.8448  4 Cu 2.45-2.70, 1 Al 2.61
Al11 0.5000 0.5854 0.0000  2 Al 2.61, 6 Cu 2.62-2.87
Al12 0.5000 0.0335 0.3595  4 Cu 2.50-2.72
Cu1 0.0000 0.8926 0.6551  5 Al 2.45-2.72
Cu2 0.5000 0.1074 0.1551  5 Al 2.45-2.72
Cu3 0.0000 0.5400 0.8589  3 Al 2.53-2.70, 1 Cu 2.59
Cu4 0.5000 0.4600 0.3589  3 Al 2.53-2.70, 1 Cu 2.59
Cu5 0.0000 0.5400 0.1411  3 Al 2.53-2.70, 1 Cu 2.59
Cu6 0.0000 0.8926 0.3449  5 Al 2.45-2.72
Cu7 0.0000 0.7539 0.0000  6 Al 2.58-2.66, 2 Cu 2.59
Cu8 0.5000 0.2461 0.5000  6 Al 2.58-2.66, 2 Cu 2.59
Cu9 0.5000 0.1074 0.8449  5 Al 2.45-2.72
Cu10 0.5000 0.4600 0.6411  3 Al 2.53-2.70, 1 Cu 2.59
Pa1 0.0000 0.2689 0.0000  6 Cu 2.97-3.27, 6 Al 3.15-3.18
Pa2 0.0000 0.2548 0.7146  6 Cu 2.96-3.22, 8 Al 3.00-3.21
Pa3 0.0000 0.2548 0.2854  6 Cu 2.96-3.22, 8 Al 3.00-3.21
Pa4 0.5000 0.7311 0.5000  6 Cu 2.97-3.27, 6 Al 3.15-3.18
Pa5 0.5000 0.7452 0.7854  6 Cu 2.96-3.22, 8 Al 3.00-3.21
Pa6 0.5000 0.7452 0.2146  6 Cu 2.96-3.22, 8 Al 3.00-3.21

***

5.
Compound: PaAlCu
Source: the Alexandria database
Functional: GGA-PBE
Structure: optimized geometry

Calculated values
Its symmetry is Fmmm, No. 69.

Unit cell a=4.9704 b=4.9704 c=5.7149 alpha=103.64 beta=103.64 gamma=117.23
Closest atoms and distances in Å follow each position.
Positions (direct):
Pa1 0.3334 0.6666 0.0000  3 Pa 2.83-2.95, 4 Cu 2.94
Pa2 0.6666 0.3334 0.0000  3 Pa 2.83-2.95, 4 Cu 2.94
Al1 0.1573 0.1573 0.3145  4 Cu 2.66
Al2 0.8427 0.8427 0.6855  4 Cu 2.66
Cu1 0.7500 0.2500 0.5000  2 Cu 2.59, 4 Al 2.66
Cu2 0.2500 0.7500 0.5000  2 Cu 2.59, 4 Al 2.66

***

6.
Compound: Pa2Al5Cu3
Source: the Alexandria database
Functional: GGA-PBE
Structure: optimized geometry

Calculated values
Its symmetry is Ibam, No. 72.

Unit cell a=5.8837 b=8.3137 c=8.3137 alpha=75.72 beta=69.28 gamma=69.28
Closest atoms and distances in Å follow each position.
Positions (direct):
Al1 0.3873 0.2548 0.9706  3 Cu 2.35-2.45, 2 Al 2.62
Al2 0.0006 0.2494 0.2494  2 Cu 2.46, 2 Al 2.62
Al3 0.8873 0.9706 0.2548  3 Cu 2.35-2.45, 2 Al 2.62
Al4 0.2500 0.5000 0.5000  4 Cu 2.46
Al5 0.9994 0.7506 0.7506  2 Cu 2.46, 2 Al 2.62
Al6 0.5006 0.2494 0.2494  2 Cu 2.46, 2 Al 2.62
Al7 0.4994 0.7506 0.7506  2 Cu 2.46, 2 Al 2.62
Al8 0.7500 0.5000 0.5000  4 Cu 2.46
Al9 0.1127 0.0294 0.7452  3 Cu 2.35-2.45, 2 Al 2.62
Al10 0.6127 0.7452 0.0294  3 Cu 2.35-2.45, 2 Al 2.62
Pa1 0.8693 0.3851 0.8763  10 Al 3.08-3.29, 6 Cu 3.14-3.35
Pa2 0.6307 0.1237 0.6149  10 Al 3.08-3.29, 6 Cu 3.14-3.35
Pa3 0.3693 0.8763 0.3851  10 Al 3.08-3.29, 6 Cu 3.14-3.35
Pa4 0.1307 0.6149 0.1237  10 Al 3.08-3.29, 6 Cu 3.14-3.35
Cu1 0.1254 0.2465 0.5028  5 Al 2.35-2.46
Cu2 0.7500 0.0000 0.0000  4 Al 2.45
Cu3 0.8746 0.7535 0.4972  5 Al 2.35-2.46
Cu4 0.2500 0.0000 0.0000  4 Al 2.45
Cu5 0.3746 0.4972 0.7535  5 Al 2.35-2.46
Cu6 0.6254 0.5028 0.2465  5 Al 2.35-2.46

***

7.
Compound: PaAl4Cu
Source: the Alexandria database
Functional: GGA-PBE
Structure: optimized geometry

Calculated values
Its symmetry is Cmcm, No. 63.

Unit cell a=4.1069 b=6.5609 c=8.1745 alpha=90.00 beta=104.55 gamma=90.00
Closest atoms and distances in Å follow each position.
Positions (direct):
Al1 0.3157 0.4488 0.6313  3 Cu 2.41-2.53, 1 Al 2.61
Al2 0.5000 0.0000 0.0000  6 Al 2.89-2.94, 4 Pa 3.15
Al3 0.9233 0.2500 0.8467  1 Cu 2.40
Al4 0.6843 0.5512 0.3687  3 Cu 2.41-2.53, 1 Al 2.61
Al5 0.0767 0.7500 0.1533  1 Cu 2.40
Al6 0.3157 0.0512 0.6313  3 Cu 2.41-2.53, 1 Al 2.61
Al7 0.6843 0.9488 0.3687  3 Cu 2.41-2.53, 1 Al 2.61
Al8 0.5000 0.5000 0.0000  6 Al 2.89-2.94, 4 Pa 3.15
Pa1 0.8901 0.7500 0.7803  9 Al 2.95-3.15, 2 Cu 3.28
Pa2 0.1099 0.2500 0.2197  9 Al 2.95-3.15, 2 Cu 3.28
Cu1 0.2285 0.7500 0.4569  7 Al 2.40-2.53
Cu2 0.7715 0.2500 0.5431  7 Al 2.40-2.53

***

8.
Compound: Pa2Al3Cu
Source: the Alexandria database
Functional: GGA-PBE
Structure: optimized geometry

Calculated values
Its symmetry is P6_3/mmc, No. 194.

Unit cell a=5.5747 b=5.5747 c=8.4241 alpha=90.00 beta=90.00 gamma=120.00
Closest atoms and distances in Å follow each position.
Positions (direct):
Al1 0.1685 0.8315 0.2500  2 Cu 2.66, 4 Al 2.76-2.82
Al2 0.3369 0.1685 0.7500  2 Cu 2.66, 4 Al 2.76-2.82
Al3 0.1685 0.3369 0.2500  2 Cu 2.66, 4 Al 2.76-2.82
Al4 0.8315 0.1685 0.7500  2 Cu 2.66, 4 Al 2.76-2.82
Al5 0.8315 0.6631 0.7500  2 Cu 2.66, 4 Al 2.76-2.82
Al6 0.6631 0.8315 0.2500  2 Cu 2.66, 4 Al 2.76-2.82
Cu1 0.0000 0.0000 0.0000  6 Al 2.66
Cu2 0.0000 0.0000 0.5000  6 Al 2.66
Pa1 0.3333 0.6667 0.9153  1 Pa 2.78, 6 Al 3.12
Pa2 0.3333 0.6667 0.5847  1 Pa 2.78, 6 Al 3.12
Pa3 0.6667 0.3333 0.0847  1 Pa 2.78, 6 Al 3.12
Pa4 0.6667 0.3333 0.4153  1 Pa 2.78, 6 Al 3.12

***

Per-record total DFT energy (no corrections), eV per atom: -4.63 -5.46 -4.99 -5.31 -5.79 -5.26 -5.01 -6.00
Per-record energy relative to the elements, eV per atom: -0.224 -0.191 -0.222 -0.212 -0.011 -0.263 -0.249 -0.276